This record from Alexandria describes a relaxed Pu2UP3 crystal. The functional is GGA-PBE.

* ΔH_f (0 K): -1.093 eV per atom
* V: 22.3 A^3/atom

a = 3.979 Å, b = 5.628 Å, c = 6.908 Å
α = 114.04°, β = 106.74°, γ = 90.00°
Last column: magnetic moment on the atom in μB.
Fractional coordinates of all 6 atoms:
Pu 0.668 0.168 0.335  5.00
Pu 0.332 0.832 0.665  5.00
U 0.000 0.500 0.000  1.97
P 0.337 0.337 0.673  -0.12
P 0.000 0.000 0.000  -0.12
P 0.663 0.663 0.327  -0.12